Version P
{"formula": "SmDy7Y3", "functional": "PBE-GGA", "state": "relaxed", "lattice": [[7.059, 0.000, 0.000], [-3.529, 6.113, 0.000], [0.000, 0.000, 8.633]], "species": ["Sm", "Dy", "Dy", "Dy", "Dy", "Dy", "Dy", "Dy", "Y", "Y", "Y"], "frac_coords": [[0.000, 0.000, 0.000], [0.003, 0.501, 0.004], [0.331, 0.165, 0.673], [0.333, 0.667, 0.677], [0.499, 0.501, 0.004], [0.499, 0.997, 0.004], [0.835, 0.165, 0.673], [0.835, 0.669, 0.673], [0.167, 0.334, 0.340], [0.167, 0.833, 0.340], [0.666, 0.833, 0.340]], "m_tot_mub_per_fu": 0.0}

---

Version Q
{"formula": "SmDy7Y3", "functional": "PBE-GGA", "state": "relaxed", "lattice": [[6.999, 0.000, 0.000], [0.000, 5.549, 0.000], [-3.474, 0.000, 9.282]], "species": ["Sm", "Dy", "Dy", "Dy", "Dy", "Dy", "Dy", "Dy", "Y", "Y", "Y"], "frac_coords": [[0.000, 0.000, 0.000], [0.000, 0.000, 0.500], [0.146, 0.500, 0.792], [0.323, 0.500, 0.142], [0.417, 0.000, 0.331], [0.583, 0.000, 0.669], [0.677, 0.500, 0.858], [0.854, 0.500, 0.208], [0.278, 0.500, 0.499], [0.500, 0.000, 0.000], [0.722, 0.500, 0.501]], "m_tot_mub_per_fu": 0.0}

---

Order of stability, best first: version Q, version P

---

Version P
{"formula": "SmDy12Y7", "functional": "PBE-GGA", "state": "relaxed", "lattice": [[6.417, 3.705, 4.563], [-6.417, 3.705, 4.563], [0.000, -7.410, 4.563]], "species": ["Sm", "Dy", "Dy", "Dy", "Dy", "Dy", "Dy", "Dy", "Dy", "Dy", "Dy", "Dy", "Dy", "Y", "Y", "Y", "Y", "Y", "Y", "Y"], "frac_coords": [[0.000, 0.000, 0.000], [0.144, 0.411, 0.474], [0.192, 0.749, 0.323], [0.251, 0.677, 0.808], [0.323, 0.192, 0.749], [0.411, 0.474, 0.144], [0.474, 0.144, 0.411], [0.526, 0.856, 0.589], [0.589, 0.526, 0.856], [0.677, 0.808, 0.251], [0.749, 0.323, 0.192], [0.808, 0.251, 0.677], [0.856, 0.589, 0.526], [0.011, 0.079, 0.348], [0.079, 0.348, 0.011], [0.348, 0.011, 0.079], [0.500, 0.500, 0.500], [0.652, 0.989, 0.921], [0.921, 0.652, 0.989], [0.989, 0.921, 0.652]], "m_tot_mub_per_fu": 0.0}

---

Version Q
{"formula": "SmDy12Y7", "functional": "PBE-GGA", "state": "relaxed", "lattice": [[-5.631, 5.631, 5.631], [5.631, -5.631, 5.631], [5.631, 5.631, -5.631]], "species": ["Sm", "Dy", "Dy", "Dy", "Dy", "Dy", "Dy", "Dy", "Dy", "Dy", "Dy", "Dy", "Dy", "Y", "Y", "Y", "Y", "Y", "Y", "Y"], "frac_coords": [[0.000, 0.000, 0.000], [0.000, 0.252, 0.748], [0.000, 0.748, 0.252], [0.252, 0.000, 0.748], [0.252, 0.252, 0.504], [0.252, 0.504, 0.252], [0.252, 0.748, 0.000], [0.496, 0.748, 0.748], [0.504, 0.252, 0.252], [0.748, 0.000, 0.252], [0.748, 0.252, 0.000], [0.748, 0.496, 0.748], [0.748, 0.748, 0.496], [0.000, 0.000, 0.500], [0.000, 0.500, 0.000], [0.000, 0.500, 0.500], [0.500, 0.000, 0.000], [0.500, 0.000, 0.500], [0.500, 0.500, 0.000], [0.500, 0.500, 0.500]], "m_tot_mub_per_fu": 0.0}

---

Order of stability, best first: version P, version Q

---

Version P
{"formula": "Sm2Dy3Y3", "functional": "PBE-GGA", "state": "relaxed", "lattice": [[1.803, -8.706, 0.000], [1.803, 8.706, 0.000], [0.000, 0.000, 16.938]], "species": ["Sm", "Sm", "Sm", "Sm", "Dy", "Dy", "Dy", "Dy", "Dy", "Dy", "Y", "Y", "Y", "Y", "Y", "Y"], "frac_coords": [[0.212, 0.788, 0.649], [0.212, 0.788, 0.851], [0.788, 0.212, 0.149], [0.788, 0.212, 0.351], [0.006, 0.994, 0.601], [0.006, 0.994, 0.899], [0.423, 0.577, 0.250], [0.577, 0.423, 0.750], [0.994, 0.006, 0.101], [0.994, 0.006, 0.399], [0.354, 0.646, 0.516], [0.354, 0.646, 0.984], [0.388, 0.612, 0.750], [0.612, 0.388, 0.250], [0.646, 0.354, 0.016], [0.646, 0.354, 0.484]], "m_tot_mub_per_fu": 0.0}

---

Version Q
{"formula": "Sm2Dy3Y3", "functional": "PBE-GGA", "state": "relaxed", "lattice": [[5.059, 0.000, 0.000], [0.000, 5.059, 0.000], [0.000, 0.000, 20.198]], "species": ["Sm", "Sm", "Sm", "Sm", "Dy", "Dy", "Dy", "Dy", "Dy", "Dy", "Y", "Y", "Y", "Y", "Y", "Y"], "frac_coords": [[0.000, 0.000, 0.250], [0.000, 0.000, 0.750], [0.500, 0.500, 0.250], [0.500, 0.500, 0.750], [0.000, 0.000, 0.000], [0.000, 0.500, 0.124], [0.000, 0.500, 0.876], [0.500, 0.000, 0.376], [0.500, 0.000, 0.624], [0.500, 0.500, 0.500], [0.000, 0.000, 0.500], [0.000, 0.500, 0.376], [0.000, 0.500, 0.624], [0.500, 0.000, 0.124], [0.500, 0.000, 0.876], [0.500, 0.500, 0.000]], "m_tot_mub_per_fu": 0.0}

---

Order of stability, best first: version Q, version P

---

Version P
{"formula": "Sm2DyY7", "functional": "PBE-GGA", "state": "relaxed", "lattice": [[4.358, -8.548, 0.000], [4.358, 8.548, 0.000], [0.000, 0.000, 5.292]], "species": ["Sm", "Sm", "Dy", "Y", "Y", "Y", "Y", "Y", "Y", "Y"], "frac_coords": [[0.202, 0.798, 0.000], [0.798, 0.202, 0.000], [0.500, 0.500, 0.500], [0.000, 0.000, 0.000], [0.212, 0.431, 0.000], [0.299, 0.701, 0.500], [0.431, 0.212, 0.000], [0.569, 0.788, 0.000], [0.701, 0.299, 0.500], [0.788, 0.569, 0.000]], "m_tot_mub_per_fu": 0.0}

---

Version Q
{"formula": "Sm2DyY7", "functional": "PBE-GGA", "state": "relaxed", "lattice": [[3.251, -14.709, 0.000], [3.251, 14.709, 0.000], [0.000, 0.000, 3.465]], "species": ["Sm", "Sm", "Dy", "Y", "Y", "Y", "Y", "Y", "Y", "Y"], "frac_coords": [[0.207, 0.793, 0.000], [0.793, 0.207, 0.000], [0.000, 0.000, 0.500], [0.144, 0.342, 0.000], [0.312, 0.688, 0.500], [0.342, 0.144, 0.000], [0.500, 0.500, 0.000], [0.658, 0.856, 0.000], [0.688, 0.312, 0.500], [0.856, 0.658, 0.000]], "m_tot_mub_per_fu": 0.0}

---

Order of stability, best first: version Q, version P